# 1
# ErScAl2

A relaxed structure of ErScAl2 (PBE, Alexandria).

Lattice parameters (Å, degrees): 4.914 4.914 4.914 60.00 60.00 60.00
Sites, in units of the cell vectors:
Sc 0.500 0.500 0.500
Al 0.250 0.250 0.250
Al 0.750 0.750 0.750
Er 0.000 0.000 0.000

Values from the calculation:
- polymorph energy (0 for the lowest one) (meV/atom) = 10.9


# 2
# ErScAl

A relaxed structure of ErScAl (PBE, Alexandria).

Lattice parameters (Å, degrees): 4.510 4.510 7.310 90.00 90.00 90.00
Sites, in units of the cell vectors:
Er 0.000 0.500 0.696
Er 0.500 0.000 0.304
Al 0.500 0.500 0.000
Al 0.000 0.000 0.000
Sc 0.500 0.000 0.764
Sc 0.000 0.500 0.236

Values from the calculation:
- polymorph energy (0 for the lowest one) (meV/atom) = 196.3


# 3
# Er2Sc2Al3

A relaxed structure of Er2Sc2Al3 (PBE, Alexandria).

Lattice parameters (Å, degrees): 3.246 3.237 15.104 90.00 83.83 90.00
Site moments in Bohr magnetons follow the coordinates.
Sites, in units of the cell vectors:
Er 0.569 0.500 0.862  0.00
Er 0.431 0.500 0.138  0.00
Sc 0.702 0.500 0.597  0.12
Sc 0.298 0.500 0.403  0.12
Al 0.860 0.000 0.280  0.00
Al 0.000 0.000 0.000  0.00
Al 0.140 0.000 0.720  0.00


# 4
# Er4ScAl

A relaxed structure of Er4ScAl (PBE, Alexandria).

Lattice parameters (Å, degrees): 6.046 8.798 8.025 113.95 99.76 112.20
Sites, in units of the cell vectors:
Er 0.052 0.178 0.782
Er 0.760 0.714 0.627
Er 0.230 0.604 0.782
Er 0.368 0.913 0.627
Er 0.632 0.087 0.373
Er 0.770 0.396 0.218
Er 0.240 0.286 0.373
Er 0.948 0.822 0.218
Sc 0.347 0.597 0.194
Sc 0.653 0.403 0.806
Al 0.249 0.999 0.999
Al 0.751 0.001 0.001

Values from the calculation:
- polymorph energy (0 for the lowest one) (meV/atom) = 0.0


| no. | spin magnetization (μB/f.u.) | energy of formation from the pure elements (eV per atom) | ρ (kg/m³) |
| --- | --- | --- | --- |
| 1 | 0.00 | -0.4063 | 5268 |
| 2 | 0.00 | -0.0990 | 5343 |
| 3 | 0.39 | -0.2767 | 5318 |
| 4 | 0.00 | -0.0209 | 7370 |